[1]
Na2Cd5Ga3: relaxed, PBE-GGA.

Cell and atoms, written as extended XYZ:
```
20
Lattice="6.1343 0.0000 0.0000 3.0671 8.8469 -0.7245 3.0671 0.6488 8.8528" Properties=species:S:1:pos:R:3 pbc="T T T"
Cd 6.1343 2.9210 8.2149
Cd 10.7350 7.2028 6.1656
Cd 4.6007 4.7479 4.0642
Ga 4.6007 0.0000 0.0000
Na 3.0671 5.3872 0.7341
Cd 1.5336 2.2929 1.9628
Na 9.2014 4.1085 7.3942
Ga 6.1343 4.8518 6.4165
Na 6.1343 1.5563 5.2095
Ga 9.2014 7.0881 3.8040
Ga 1.5336 0.0000 0.0000
Cd 4.6007 2.2929 1.9628
Ga 3.0671 2.4077 4.3243
Cd 7.6679 4.7479 4.0642
Na 6.1343 7.9394 2.9188
Cd 3.0671 0.9286 6.5094
Cd 9.2014 8.5671 1.6190
Ga 6.1343 4.6439 1.7119
Cd 7.6679 7.2028 6.1656
Cd 6.1343 6.5747 -0.0866
```

DOS(E_F)	4.088	states/eV/f.u.
crystal system	orthorhombic
electronic total energy	-1.66	eV per atom
calculated formation energy	-0.03	eV per atom

---

[2]
Pm5SbSe5: relaxed, PBE-GGA.

Cell and atoms, written as extended XYZ:
```
11
Lattice="-1.3495 3.3960 -4.7910 6.5719 -3.3683 -4.2386 -4.7280 -5.4684 1.2447" Properties=species:S:1:pos:R:3 pbc="T T T"
Pm -0.6747 1.6980 -2.3955
Se 3.2859 -1.6841 -2.1193
Pm 0.0608 -3.0175 -5.9451
Sb 0.0000 0.0000 0.0000
Se -2.4938 -3.0248 -1.4416
Pm 0.4337 -2.4233 -1.8398
Pm 3.6145 -4.0158 -3.8646
Se 0.7527 -4.7757 -3.5972
Se 2.9882 -2.4159 -6.3433
Se -0.2582 -0.6650 -4.1877
Pm -3.1201 -1.4249 -3.9203
```

DOS(E_F)	3.695	states/eV/f.u.
crystal system	monoclinic
electronic total energy	-5.86	eV per atom
raw formation energy	-1.74	eV/atom

---

[3]
Nd3Ho2Th2: relaxed, PBE-GGA.

Cell and atoms, written as extended XYZ:
```
7
Lattice="-3.3320 0.6039 -0.6461 0.9170 -0.7889 -5.4664 -2.8550 -11.4321 4.0388" Properties=species:S:1:pos:R:3 pbc="T T T"
Th -1.2632 -8.8933 -1.7972
Nd -1.3921 -6.8704 0.7579
Nd -0.5459 -5.3506 -2.1855
Nd 0.0000 0.0000 0.0000
Th -0.6747 -3.3277 0.3696
Ho -1.5653 -1.8576 -2.8605
Ho -3.7046 -9.7595 0.7868
```

DOS(E_F)	10.112	states/eV/f.u.
crystal system	orthorhombic
electronic total energy	-5.28	eV per atom
calculated formation energy	0.19	eV per atom

---

[4]
PuZnPt3: relaxed, PBE-GGA.

Cell and atoms, written as extended XYZ:
```
10
Lattice="5.3371 0.0000 0.0000 2.6685 5.9990 -0.8895 2.6685 -0.7659 6.0160" Properties=species:S:1:pos:R:3 pbc="T T T"
Pu 2.6685 0.0000 0.0000
Zn 5.3371 4.1088 3.6570
Pt 1.3343 -0.3829 3.0080
Pt 8.0056 0.8660 5.0435
Pt 2.6686 4.3670 0.0830
Zn 5.3371 1.1242 1.4695
Pt 5.3371 1.6778 4.2149
Pu 2.6685 2.6165 2.5633
Pt 4.0028 -0.3829 3.0080
Pt 5.3371 3.5552 0.9117
```

DOS(E_F)	12.834	states/eV/f.u.
crystal system	orthorhombic
electronic total energy	-7.23	eV per atom
calculated formation energy	-0.49	eV per atom

---

[5]
BaScCu2: relaxed, PBE-GGA.

Cell and atoms, written as extended XYZ:
```
4
Lattice="-1.4031 -2.7756 1.4590 -0.1690 -1.5283 -3.0701 7.2800 -3.0838 1.1343" Properties=species:S:1:pos:R:3 pbc="T T T"
Ba 5.0353 -4.6179 0.1015
Sc 2.9147 -1.2347 0.4541
Cu 0.5850 -0.2478 0.0911
Cu 0.8128 -2.8292 -0.5564
```

DOS(E_F)	2.421	states/eV/f.u.
crystal system	tetragonal
electronic total energy	-3.98	eV per atom
calculated formation energy	0.13	eV per atom
energy relative to the lowest polymorph listed for this composition	0.171	eV per atom

---

[6]
Sr3GeO: relaxed, PBE-GGA.

Cell and atoms, written as extended XYZ:
```
20
Lattice="7.1854 0.0000 0.0000 0.0000 7.2185 0.0000 0.0000 0.0000 10.1897" Properties=species:S:1:pos:R:3 pbc="T T T"
Sr 5.6166 1.5792 4.7662
Sr 5.1615 5.1885 4.7662
Sr 4.0370 7.1455 7.6423
Sr 1.5688 5.6392 9.8610
Ge 0.0431 0.1861 7.6423
Ge 3.5496 3.7954 7.6423
Sr 6.7411 3.5363 7.6423
Ge 7.1423 7.0323 2.5474
O 0.0000 3.6092 0.0000
O 0.0000 3.6092 5.0948
Ge 3.6358 3.4231 2.5474
Sr 0.4443 3.6822 2.5474
Sr 5.1615 5.1885 0.3287
Sr 2.0239 2.0300 5.4235
Sr 2.0239 2.0300 9.8610
Sr 3.1484 0.0729 2.5474
O 3.5927 0.0000 5.0948
Sr 5.6166 1.5792 0.3287
O 3.5927 0.0000 0.0000
Sr 1.5688 5.6392 5.4235
```

DOS(E_F)	0.018	states/eV/f.u.
crystal system	orthorhombic
electronic total energy	-4.35	eV per atom
raw formation energy	-1.42	eV/atom

---

Repeat the third record exactly.
Nd3Ho2Th2: relaxed, PBE-GGA.

Cell and atoms, written as extended XYZ:
```
7
Lattice="-3.3320 0.6039 -0.6461 0.9170 -0.7889 -5.4664 -2.8550 -11.4321 4.0388" Properties=species:S:1:pos:R:3 pbc="T T T"
Th -1.2632 -8.8933 -1.7972
Nd -1.3921 -6.8704 0.7579
Nd -0.5459 -5.3506 -2.1855
Nd 0.0000 0.0000 0.0000
Th -0.6747 -3.3277 0.3696
Ho -1.5653 -1.8576 -2.8605
Ho -3.7046 -9.7595 0.7868
```

DOS(E_F)	10.112	states/eV/f.u.
crystal system	orthorhombic
electronic total energy	-5.28	eV per atom
calculated formation energy	0.19	eV per atom